Arrangement A

A plane-wave DFT calculation with PBE was carried out for a geometry-optimized Ca2SbP structure.

Its crystal system is monoclinic.

The space group is Cm (No. 8) and the conventional cell measures 11.5365, 4.3030 and 4.4477 Å, with angles of 90.00, 101.63 and 90.00 degrees. The inequivalent atoms are Ca at (0.0000, 0.0000, 0.0000), Ca at (0.2299, 0.5000, 0.4979), Sb at (0.2831, 0.0000, 0.0369) and P at (0.4776, 0.0000, 0.4559).

=====

Arrangement B

A plane-wave DFT calculation with PBE was carried out for a geometry-optimized Ca2SbP structure.

Its crystal system is monoclinic.

The space group is C2/m (No. 12) and the conventional cell measures 8.9801, 4.5045 and 5.6932 Å, with angles of 90.00, 114.19 and 90.00 degrees. The inequivalent atoms are Ca at (0.2325, 0.0000, 0.2168), Sb at (0.0000, 0.0000, 0.5000) and P at (0.0000, 0.5000, 0.0000).

=====

It is arrangement A that is the most stable of them.

=====

Arrangement A

A plane-wave DFT calculation with PBE was carried out for a geometry-optimized Ca2SbP structure.

Its crystal system is trigonal.

The space group is R-3m (No. 166, hexagonal axes) and the conventional cell measures 3.9289, 3.9289 and 25.2697 Å, with angles of 90.00, 90.00 and 120.00 degrees. The inequivalent atoms are Ca at (0.0000, 0.0000, 0.2326), Sb at (0.0000, 0.0000, 0.0000) and P at (0.0000, 0.0000, 0.5000).

=====

Arrangement B

A plane-wave DFT calculation with PBE was carried out for a geometry-optimized Ca2SbP structure.

Its crystal system is tetragonal.

The space group is I-42d (No. 122) and the conventional cell measures 8.1745, 8.1745 and 6.4986 Å, with angles of 90.00, 90.00 and 90.00 degrees. The inequivalent atoms are Ca at (0.2087, 0.7500, 0.1250), Sb at (0.0000, 0.0000, 0.5000) and P at (0.0000, 0.0000, 0.0000).

=====

It is arrangement A that is the most stable of them.

=====

Arrangement A

A plane-wave DFT calculation with PBE was carried out for a geometry-optimized Ca2SbP2 structure.

Its crystal system is tetragonal.

The space group is P4/mbm (No. 127) and the conventional cell measures 7.6657, 7.6657 and 3.9492 Å, with angles of 90.00, 90.00 and 90.00 degrees. The inequivalent atoms are Ca at (0.1485, 0.3515, 0.0000), Sb at (0.0000, 0.0000, 0.5000) and P at (0.1606, 0.6606, 0.5000).

=====

Arrangement B

A plane-wave DFT calculation with PBE was carried out for a geometry-optimized Ca2SbP2 structure.

Its crystal system is tetragonal.

The space group is I4/mmm (No. 139) and the conventional cell measures 3.6922, 3.6922 and 17.2927 Å, with angles of 90.00, 90.00 and 90.00 degrees. The inequivalent atoms are Ca at (0.0000, 0.0000, 0.1192), Sb at (0.0000, 0.0000, 0.5000) and P at (0.0000, 0.5000, 0.2500).

=====

It is arrangement A that is the most stable of them.

=====

Arrangement A

A plane-wave DFT calculation with PBE was carried out for a geometry-optimized CaSb3P structure.

Its crystal system is cubic.

The space group is Pm-3m (No. 221) and the conventional cell measures 5.2790, 5.2790 and 5.2790 Å, with angles of 90.00, 90.00 and 90.00 degrees. The inequivalent atoms are Ca at (0.0000, 0.0000, 0.0000), Sb at (0.0000, 0.5000, 0.5000) and P at (0.5000, 0.5000, 0.5000).

=====

Arrangement B

A plane-wave DFT calculation with PBE was carried out for a geometry-optimized CaSb3P structure.

Its crystal system is cubic.

The space group is Pm-3m (No. 221) and the conventional cell measures 5.6576, 5.6576 and 5.6576 Å, with angles of 90.00, 90.00 and 90.00 degrees. The inequivalent atoms are Ca at (0.0000, 0.0000, 0.0000), Sb at (0.0000, 0.0000, 0.5000) and P at (0.5000, 0.5000, 0.5000).

=====

It is arrangement A that is the most stable of them.

=====

Arrangement A

A plane-wave DFT calculation with PBE was carried out for a geometry-optimized CaSbP3 structure.

Its crystal system is cubic.

The space group is Pm-3m (No. 221) and the conventional cell measures 5.0697, 5.0697 and 5.0697 Å, with angles of 90.00, 90.00 and 90.00 degrees. The inequivalent atoms are Ca at (0.0000, 0.0000, 0.0000), Sb at (0.5000, 0.5000, 0.5000) and P at (0.0000, 0.5000, 0.5000).

=====

Arrangement B

A plane-wave DFT calculation with PBE was carried out for a geometry-optimized CaSbP3 structure.

Its crystal system is cubic.

The space group is Pm-3m (No. 221) and the conventional cell measures 5.1279, 5.1279 and 5.1279 Å, with angles of 90.00, 90.00 and 90.00 degrees. The inequivalent atoms are Ca at (0.0000, 0.0000, 0.0000), Sb at (0.5000, 0.5000, 0.5000) and P at (0.0000, 0.0000, 0.5000).

=====

It is arrangement A that is the most stable of them.

=====

Arrangement A

A plane-wave DFT calculation with PBE was carried out for a geometry-optimized Ca6Sb3P structure.

Its crystal system is monoclinic.

The space group is C2/m (No. 12) and the conventional cell measures 13.5302, 7.6852 and 7.8713 Å, with angles of 90.00, 123.01 and 90.00 degrees. The inequivalent atoms are Ca at (0.0792, 0.2462, 0.3418), Ca at (0.2370, 0.0000, 0.8609), Sb at (0.0000, 0.5000, 0.0000), Sb at (0.2453, 0.5000, 0.7231) and P at (0.0000, 0.0000, 0.5000).

=====

Arrangement B

A plane-wave DFT calculation with PBE was carried out for a geometry-optimized Ca6Sb3P structure.

Its crystal system is monoclinic.

The space group is P2_1/c (No. 14) and the conventional cell measures 7.5967, 8.1111 and 13.1393 Å, with angles of 90.00, 124.65 and 90.00 degrees. The inequivalent atoms are Ca at (0.1019, 0.0677, 0.2395), Ca at (0.2527, 0.7048, 0.0743), Ca at (0.3635, 0.1802, 0.0610), Sb at (0.2787, 0.0751, 0.7539), Sb at (0.5000, 0.0000, 0.5000) and P at (0.0000, 0.0000, 0.0000).

=====

It is arrangement B that is the most stable of them.

=====

Arrangement A

A plane-wave DFT calculation with PBE was carried out for a geometry-optimized CaSb2P2 structure.

Its crystal system is tetragonal.

The space group is P4/mbm (No. 127) and the conventional cell measures 8.0736, 8.0736 and 3.8332 Å, with angles of 90.00, 90.00 and 90.00 degrees. The inequivalent atoms are Ca at (0.0000, 0.0000, 0.0000), Sb at (0.1663, 0.3337, 0.5000) and P at (0.1801, 0.6801, 0.0000).

=====

Arrangement B

A plane-wave DFT calculation with PBE was carried out for a geometry-optimized CaSb2P2 structure.

Its crystal system is tetragonal.

The space group is I4/mmm (No. 139) and the conventional cell measures 4.2703, 4.2703 and 13.8006 Å, with angles of 90.00, 90.00 and 90.00 degrees. The inequivalent atoms are Ca at (0.0000, 0.0000, 0.0000), Sb at (0.0000, 0.5000, 0.2500) and P at (0.0000, 0.0000, 0.4221).

=====

Arrangement C

A plane-wave DFT calculation with PBE was carried out for a geometry-optimized CaSb2P2 structure.

Its crystal system is tetragonal.

The space group is I4/mmm (No. 139) and the conventional cell measures 5.3060, 5.3060 and 9.4631 Å, with angles of 90.00, 90.00 and 90.00 degrees. The inequivalent atoms are Ca at (0.0000, 0.0000, 0.0000), Sb at (0.0000, 0.0000, 0.3312) and P at (0.0000, 0.5000, 0.2500).

=====

It is arrangement A that is the most stable of them.

=====

Arrangement A

A plane-wave DFT calculation with PBE was carried out for a geometry-optimized CaP3Se structure.

Its crystal system is cubic.

The space group is Pm-3m (No. 221) and the conventional cell measures 5.1996, 5.1996 and 5.1996 Å, with angles of 90.00, 90.00 and 90.00 degrees. The inequivalent atoms are Ca at (0.0000, 0.0000, 0.0000), P at (0.0000, 0.0000, 0.5000) and Se at (0.5000, 0.5000, 0.5000).

=====

Arrangement B

A plane-wave DFT calculation with PBE was carried out for a geometry-optimized CaP3Se structure.

Its crystal system is cubic.

The space group is Pm-3m (No. 221) and the conventional cell measures 4.8412, 4.8412 and 4.8412 Å, with angles of 90.00, 90.00 and 90.00 degrees. The inequivalent atoms are Ca at (0.0000, 0.0000, 0.0000), P at (0.0000, 0.5000, 0.5000) and Se at (0.5000, 0.5000, 0.5000).

=====

It is arrangement B that is the most stable of them.

=====

Arrangement A

A plane-wave DFT calculation with PBE was carried out for a geometry-optimized CaPSe3 structure.

Its crystal system is cubic.

The space group is Pm-3m (No. 221) and the conventional cell measures 4.9176, 4.9176 and 4.9176 Å, with angles of 90.00, 90.00 and 90.00 degrees. The inequivalent atoms are Ca at (0.0000, 0.0000, 0.0000), P at (0.5000, 0.5000, 0.5000) and Se at (0.0000, 0.5000, 0.5000).

=====

Arrangement B

A plane-wave DFT calculation with PBE was carried out for a geometry-optimized CaPSe3 structure.

Its crystal system is cubic.

The space group is Pm-3m (No. 221) and the conventional cell measures 5.3820, 5.3820 and 5.3820 Å, with angles of 90.00, 90.00 and 90.00 degrees. The inequivalent atoms are Ca at (0.0000, 0.0000, 0.0000), P at (0.5000, 0.5000, 0.5000) and Se at (0.0000, 0.0000, 0.5000).

=====

It is arrangement A that is the most stable of them.

=====

Arrangement A

A plane-wave DFT calculation with PBE was carried out for a geometry-optimized Ca3Si2P4 structure.

Its crystal system is monoclinic.

The space group is P2_1/c (No. 14) and the conventional cell measures 7.1065, 17.2902 and 6.9450 Å, with angles of 90.00, 111.79 and 90.00 degrees. The inequivalent atoms are Ca at (0.2163, 0.1838, 0.0122), Ca at (0.2560, 0.0618, 0.5121), Ca at (0.2613, 0.5585, 0.5043), Si at (0.2120, 0.6283, 0.0288), Si at (0.3166, 0.7419, 0.9145), P at (0.0098, 0.5613, 0.7553), P at (0.0442, 0.6860, 0.2210), P at (0.4939, 0.5683, 0.2398) and P at (0.4993, 0.1991, 0.7761).

=====

Arrangement B

A plane-wave DFT calculation with PBE was carried out for a geometry-optimized Ca3Si2P4 structure.

Its crystal system is monoclinic.

The space group is C2/c (No. 15) and the conventional cell measures 14.3041, 7.8819 and 7.2270 Å, with angles of 90.00, 90.89 and 90.00 degrees. The inequivalent atoms are Ca at (0.0000, 0.0091, 0.2500), Ca at (0.1249, 0.3982, 0.8795), Si at (0.1888, 0.1460, 0.5134), P at (0.0518, 0.2724, 0.5034) and P at (0.2241, 0.0754, 0.8220).

=====

It is arrangement A that is the most stable of them.

=====

Arrangement A

A plane-wave DFT calculation with PBE was carried out for a geometry-optimized Ca2SiP2 structure.

Its crystal system is tetragonal.

The space group is I4/mmm (No. 139) and the conventional cell measures 4.9926, 4.9926 and 9.8645 Å, with angles of 90.00, 90.00 and 90.00 degrees. The inequivalent atoms are Ca at (0.0000, 0.5000, 0.2500), Si at (0.0000, 0.0000, 0.0000) and P at (0.0000, 0.0000, 0.3911).

=====

Arrangement B

A plane-wave DFT calculation with PBE was carried out for a geometry-optimized Ca2SiP2 structure.

Its crystal system is tetragonal.

The space group is P4/mbm (No. 127) and the conventional cell measures 6.9086, 6.9086 and 4.2675 Å, with angles of 90.00, 90.00 and 90.00 degrees. The inequivalent atoms are Ca at (0.1820, 0.3180, 0.0000), Si at (0.0000, 0.0000, 0.5000) and P at (0.1178, 0.6178, 0.5000).

=====

It is arrangement B that is the most stable of them.